1.
Entry from the Alexandria database: crystalline La2TbNdHo5 at its relaxed geometry (PBE-GGA).

a b c (Å): 8.635 8.635 10.013
angles (deg): 115.54 115.54 90.00
Atoms (fractional coordinates):
Ho: 0.855 0.928 0.283
Ho: 0.428 0.355 0.283
Ho: 0.500 0.500 0.000
Ho: 0.355 0.855 0.283
Ho: 0.645 0.145 0.717
Ho: 0.000 0.000 0.000
Ho: 0.928 0.428 0.283
Ho: 0.145 0.072 0.717
Ho: 0.572 0.645 0.717
Ho: 0.072 0.572 0.717
Tb: 0.250 0.250 0.500
Tb: 0.750 0.750 0.500
La: 0.618 0.118 0.000
La: 0.882 0.618 0.000
La: 0.118 0.382 0.000
La: 0.382 0.882 0.000
Nd: 0.750 0.250 0.500
Nd: 0.250 0.750 0.500

2.
Entry from the Alexandria database: crystalline LaTb6Nd3Ho2 at its relaxed geometry (PBE-GGA).

a b c (Å): 6.241 6.241 11.931
angles (deg): 94.99 94.99 119.98
Atoms (fractional coordinates):
Ho: 0.667 0.333 0.000
Ho: 0.333 0.667 0.000
Tb: 0.582 0.917 0.751
Tb: 0.749 0.749 0.249
Tb: 0.251 0.251 0.751
Tb: 0.917 0.582 0.751
Tb: 0.418 0.083 0.249
Tb: 0.083 0.418 0.249
Nd: 0.833 0.167 0.500
Nd: 0.500 0.500 0.500
Nd: 0.167 0.833 0.500
La: 0.000 0.000 0.000

3.
Entry from the Alexandria database: crystalline La2TbNd3Ho6 at its relaxed geometry (PBE-GGA).

a b c (Å): 6.260 6.260 11.841
angles (deg): 95.04 95.04 119.99
Atoms (fractional coordinates):
Tb: 0.000 0.000 0.000
Nd: 0.500 0.500 0.500
Nd: 0.833 0.167 0.500
Nd: 0.167 0.833 0.500
Ho: 0.584 0.916 0.749
Ho: 0.084 0.416 0.251
Ho: 0.248 0.248 0.749
Ho: 0.416 0.084 0.251
Ho: 0.916 0.584 0.749
Ho: 0.752 0.752 0.251
La: 0.666 0.334 0.000
La: 0.334 0.666 0.000

4.
Entry from the Alexandria database: crystalline LaTb2Nd2Ho at its relaxed geometry (PBE-GGA).

a b c (Å): 3.540 16.548 7.008
angles (deg): 90.00 90.00 90.00
Atoms (fractional coordinates):
Ho: 0.500 0.500 0.000
Ho: 0.000 0.000 0.500
Tb: 0.000 0.346 0.749
Tb: 0.500 0.154 0.249
Tb: 0.000 0.654 0.251
Tb: 0.500 0.846 0.751
Nd: 0.500 0.840 0.254
Nd: 0.000 0.660 0.754
Nd: 0.500 0.160 0.746
Nd: 0.000 0.340 0.246
La: 0.000 0.000 0.000
La: 0.500 0.500 0.500

Number 1: formation enthalpy at 0 K 0.248 eV/atom. Number 2: formation enthalpy at 0 K 0.018 eV/atom. Number 3: formation enthalpy at 0 K 0.015 eV/atom. Number 4: formation enthalpy at 0 K 0.144 eV/atom.